Material: Sm4GaAg2
Method: DFT, PBE
State: relaxed

Summary:
space group: No. 122
spin magnetization: 0.0 μB/f.u.
E_tot: -58.26 eV for the cell shown
crystal system: tetragonal

Cell lengths 7.9458, 7.9458, 7.9458 Å; angles 109.02, 110.38, 109.02 degrees
Closest atoms and distances in Å follow each position.
Sites, in units of the cell vectors:
1 Ga 0.0000 0.0000 0.0000  8 Sm 3.04-3.25
2 Ga 0.7500 0.5000 0.2500  8 Sm 3.04-3.25
3 Ag 0.3750 0.8711 0.7461  8 Sm 3.06-3.33
4 Ag 0.2539 0.6289 0.1250  8 Sm 3.06-3.33
5 Ag 0.4961 0.3711 0.6250  8 Sm 3.06-3.33
6 Ag 0.8750 0.1289 0.5039  8 Sm 3.06-3.33
7 Sm 0.2692 0.2500 0.8822  2 Ga 3.04-3.25, 4 Ag 3.06-3.33
8 Sm 0.4808 0.1131 0.2309  2 Ga 3.04-3.25, 4 Ag 3.06-3.33
9 Sm 0.6322 0.7500 0.0191  2 Ga 3.04-3.25, 4 Ag 3.06-3.33
10 Sm 0.7691 0.2500 0.8822  2 Ga 3.04-3.25, 4 Ag 3.06-3.33
11 Sm 0.6322 0.7500 0.5192  2 Ga 3.04-3.25, 4 Ag 3.06-3.33
12 Sm 0.1178 0.3869 0.3678  2 Ga 3.04-3.25, 4 Ag 3.06-3.33
13 Sm 0.9809 0.6131 0.7308  2 Ga 3.04-3.25, 4 Ag 3.06-3.33
14 Sm 0.1178 0.8869 0.3678  2 Ga 3.04-3.25, 4 Ag 3.06-3.33

Material: SmGa12Ag6
Method: DFT, PBE
State: relaxed

Summary:
space group: No. 166
spin magnetization: 0.0 μB/f.u.
E_tot: -58.77 eV for the cell shown
crystal system: trigonal

Cell lengths 7.4269, 7.4269, 7.4269 Å; angles 103.08, 103.08, 103.08 degrees
Closest atoms and distances in Å follow each position.
Sites, in units of the cell vectors:
1 Ga 0.8936 0.1064 0.5000  1 Ga 2.48, 2 Ag 2.63
2 Ga 0.8670 0.6265 0.6265  4 Ag 2.78-2.91, 4 Ga 2.80-2.83
3 Ga 0.3735 0.1330 0.3735  4 Ag 2.78-2.91, 4 Ga 2.80-2.83
4 Ga 0.1064 0.8936 0.5000  1 Ga 2.48, 2 Ag 2.63
5 Ga 0.6265 0.6265 0.8670  4 Ag 2.78-2.91, 4 Ga 2.80-2.83
6 Ga 0.1330 0.3735 0.3735  4 Ag 2.78-2.91, 4 Ga 2.80-2.83
7 Ga 0.3735 0.3735 0.1330  4 Ag 2.78-2.91, 4 Ga 2.80-2.83
8 Ga 0.8936 0.5000 0.1064  1 Ga 2.48, 2 Ag 2.63
9 Ga 0.5000 0.8936 0.1064  1 Ga 2.48, 2 Ag 2.63
10 Ga 0.6265 0.8670 0.6265  4 Ag 2.78-2.91, 4 Ga 2.80-2.83
11 Ga 0.1064 0.5000 0.8936  1 Ga 2.48, 2 Ag 2.63
12 Ga 0.5000 0.1064 0.8936  1 Ga 2.48, 2 Ag 2.63
13 Sm 0.0000 0.0000 0.0000  6 Ga 3.23
14 Ag 0.6967 0.2815 0.6967  6 Ga 2.63-2.91
15 Ag 0.3033 0.7185 0.3033  6 Ga 2.63-2.91
16 Ag 0.2815 0.6967 0.6967  6 Ga 2.63-2.91
17 Ag 0.6967 0.6967 0.2815  6 Ga 2.63-2.91
18 Ag 0.3033 0.3033 0.7185  6 Ga 2.63-2.91
19 Ag 0.7185 0.3033 0.3033  6 Ga 2.63-2.91